No. 1
Computed, not measured: an optimized crystal structure of ZnCrCd2 at the GGA-PBEsol level of DFT.

Cell: 3.036 3.919 5.880 Å, 90.00 90.00 90.00°
Space group Pmmm (No. 47)
Asymmetric unit:
1 Zn 0.000 0.000 0.000
2 Cr 0.000 0.000 0.500
3 Cd 0.500 0.500 0.251

Calculated values
**Crystal system**: orthorhombic
**V**: 69.96 Å³/cell
**Spin magnetization**: 3.911 μB per cell
**DOS(E_F)**: 0.4570 states/eV/atom
**Electronic total energy**: -3.223 eV/atom
**DFT formation energy**: 128 kJ/mol of formula units

=====

No. 2
Computed, not measured: an optimized crystal structure of CoIr2Os at the GGA-PBEsol level of DFT.

Cell: 8.774 2.671 4.578 Å, 90.00 100.35 90.00°
Space group Cm (No. 8)
Asymmetric unit:
1 Co 0.000 0.000 0.000
2 Ir 0.001 0.500 0.509
3 Ir 0.248 0.500 0.239
4 Os 0.252 0.000 0.751

Calculated values
**Crystal system**: monoclinic
**V**: 105.56 Å³/cell
**Spin magnetization**: 2.127 μB per cell
**DOS(E_F)**: 1.1639 states/eV/atom
**Electronic total energy**: -9.840 eV/atom
**DFT formation energy**: 23 kJ/mol of formula units

=====

No. 3
Computed, not measured: an optimized crystal structure of Zr2ZnTc at the GGA-PBEsol level of DFT.

Cell: 3.341 4.482 9.458 Å, 90.00 90.00 90.00°
Space group Imm2 (No. 44)
Asymmetric unit:
1 Zr 0.000 0.000 0.000
2 Zr 0.000 0.500 0.228
3 Zn 0.000 0.000 0.454
4 Tc 0.000 0.500 0.732

Calculated values
**Crystal system**: orthorhombic
**V**: 141.66 Å³/cell
**Spin magnetization**: 0.000 μB per cell
**DOS(E_F)**: 0.9296 states/eV/atom
**Electronic total energy**: -7.902 eV/atom
**DFT formation energy**: -56 kJ/mol of formula units

=====

Q: Look up the electronic total energy of the second one.
A: -9.840 eV/atom